A geometry-optimized LiErGa2Pd4 structure, computed with GGA-PBE.

POSCAR file:
```
LiErGa2Pd4
1.0
4.4898 0.0000 0.0000
0.0000 4.4898 0.0000
0.0000 0.0000 6.3599
Li Er Ga Pd
1 1 2 4
Cartesian
0.0000 0.0000 0.0000
2.2449 2.2449 3.1800
0.0000 0.0000 3.1800
2.2449 2.2449 0.0000
0.0000 2.2449 1.4675
0.0000 2.2449 4.8924
2.2449 0.0000 1.4675
2.2449 0.0000 4.8924
```

Calculated values
- energy (eV per atom) = -4.892
- M_tot (μB per cell) = 0.011
- space group = P4/mmm (123)